Entry 1:
DFT (GGA-PBE) results for a relaxed K4NaNp3O8 crystal.

Summary:
Raw formation energy in eV/atom: -2.26
Space-group type: R-3m (166)

Cell and atoms, written as extended XYZ:
```
16
Lattice="7.073 0.000 0.000 0.000 7.460 0.263 -3.536 -3.529 5.004" Properties=species:S:1:pos:R:3 pbc="T T T"
K 0.000 0.000 0.000
K 3.536 0.000 0.000
K 1.768 -1.764 2.502
K -1.768 -1.764 2.502
O 1.610 1.783 4.891
O 3.536 0.542 2.656
O -1.610 1.783 4.891
O 3.536 3.553 2.505
O 0.000 0.379 2.763
O 5.146 2.148 0.377
O 0.000 3.389 2.612
O 1.927 2.148 0.377
Na 0.000 3.730 0.132
Np -1.768 1.966 2.634
Np 3.536 3.730 0.132
Np 1.768 1.966 2.634
```

---

Entry 2:
DFT (GGA-PBE) results for a relaxed ScTc2Se crystal.

Summary:
Raw formation energy in eV/atom: -0.14
Space-group type: I4/mmm (139)

Cell and atoms, written as extended XYZ:
```
4
Lattice="-2.316 2.052 4.596 1.241 -1.709 5.123 2.415 1.624 -4.715" Properties=species:S:1:pos:R:3 pbc="T T T"
Se -0.220 1.924 2.370
Tc -0.538 0.171 4.859
Tc 0.000 0.000 0.000
Sc 1.559 0.043 2.633
```

---

Entry 3:
DFT (GGA-PBE) results for a relaxed TeI2N2 crystal.

Summary:
Raw formation energy in eV/atom: 1.45
Space-group type: P4/mmm (123)
ΔE to the lowest computed polymorph in meV/atom: 1450

Cell and atoms, written as extended XYZ:
```
5
Lattice="4.265 0.000 0.000 0.000 4.265 0.000 0.000 0.000 8.311" Properties=species:S:1:pos:R:3 pbc="T T T"
I 0.000 0.000 4.155
I 2.132 2.132 4.155
Te 0.000 0.000 0.000
N 0.000 2.132 0.000
N 2.132 0.000 0.000
```

---

Entry 4:
DFT (GGA-PBE) results for a relaxed Zn5Cl12F3 crystal.

Summary:
Raw formation energy in eV/atom: -0.60
Space-group type: Ia-3d (230)

Cell and atoms, written as extended XYZ:
```
80
Lattice="-0.499 9.487 -9.231 6.978 -10.275 -4.602 -12.295 -3.968 2.923" Properties=species:S:1:pos:R:3 pbc="T T T"
Zn -8.536 -0.703 -1.844
Zn -0.250 4.743 -4.615
Zn -5.297 -1.097 -8.760
Zn 4.444 -7.115 -5.969
Zn 3.240 -0.394 -6.916
Zn -6.147 -1.984 1.462
Zn -6.397 2.760 -3.154
Zn 0.000 0.000 0.000
Zn -6.377 3.252 -7.400
Zn -2.658 -7.121 -0.839
Zn 2.720 -4.054 -9.065
Zn 3.489 -5.138 -2.301
Zn -0.624 -0.795 -8.703
Zn -2.908 -2.378 -5.455
Zn 0.020 0.493 -4.247
Zn 0.561 -8.008 -3.509
Zn -5.836 -5.249 -6.663
Zn -10.260 2.359 -4.940
Zn -0.519 -3.659 -2.149
Zn -5.192 -3.961 -2.206
Cl -7.382 -4.623 -2.170
Cl -1.877 -7.159 -7.903
Cl 0.815 -5.117 -8.378
Cl -7.370 5.265 -6.956
Cl -3.939 2.402 -3.006
Cl -6.218 1.975 -5.509
Cl 1.366 2.499 -11.162
Cl 3.479 -5.420 -4.773
Cl 2.305 -2.693 -10.856
Cl -9.295 0.664 -6.136
Cl -3.137 -9.475 -5.752
Cl 0.402 -6.732 -5.400
Cl -8.120 -2.063 -0.053
Cl -4.488 -2.971 -9.794
Cl -7.332 -3.809 -5.701
Cl -10.710 4.160 -6.278
Cl -4.442 -8.851 -0.981
Cl -1.579 -4.023 -4.143
Cl -1.208 -1.821 -10.662
Cl -4.821 -2.429 -3.864
Cl -3.747 -4.323 -6.761
Cl 5.656 -1.729 -11.681
Cl -1.578 -8.294 -2.750
Cl -4.608 -2.935 -0.247
Cl -1.328 -1.785 -1.115
Cl -5.930 -10.219 -3.939
Cl -1.858 1.101 -8.365
Cl -2.069 -0.433 -4.148
Cl 1.566 -0.133 -8.739
Cl -7.182 -7.255 0.253
Cl -11.472 -3.027 0.772
Cl -4.237 3.538 -8.159
Cl -2.679 4.719 -5.157
Cl -9.277 -1.908 -3.642
Cl -0.188 2.410 -5.478
Cl -5.628 -7.166 -5.431
Cl -6.631 0.361 -2.531
Cl -7.520 -1.319 -8.270
Cl 3.461 -2.848 -7.268
Cl 0.114 5.463 -6.970
Cl 4.894 -8.916 -4.631
Cl -4.237 -0.733 -6.766
Cl 1.554 -10.021 -3.953
Cl 1.516 -0.947 -5.208
Cl -3.958 -5.857 -2.544
Cl -0.995 -2.327 -7.045
Cl 1.704 -3.437 -2.639
Cl -1.374 4.095 -9.928
F -1.953 -4.356 -9.122
F -2.638 -6.629 -5.086
F 1.101 -3.856 -5.607
F -6.521 -7.522 -2.626
F -3.177 -10.781 -2.988
F 0.706 2.766 -8.283
F -9.076 -4.855 0.254
F -3.863 -0.401 -1.787
F -6.916 -0.900 -5.302
F -3.178 1.872 -5.823
F 3.260 0.098 -11.163
F -2.638 6.024 -7.921
```

---

Entry 5:
DFT (GGA-PBE) results for a relaxed ThInSnGe crystal.

Summary:
Formation enthalpy at 0 K in eV/atom: -0.325
Space-group type: P4/nmm (129)

Cell and atoms, written as extended XYZ:
```
8
Lattice="4.553 0.000 0.000 0.000 4.553 0.000 0.000 0.000 9.809" Properties=species:S:1:pos:R:3 pbc="T T T"
Th 2.276 0.000 7.071
Th 0.000 2.276 2.737
In 2.276 2.276 0.000
In 0.000 0.000 0.000
Ge 0.000 0.000 4.904
Ge 2.276 2.276 4.904
Sn 0.000 2.276 7.373
Sn 2.276 0.000 2.436
```

---

Entry 6:
DFT (GGA-PBE) results for a relaxed SmHo3Hg12 crystal.

Summary:
Formation enthalpy at 0 K in eV/atom: -0.313
Space-group type: P4/mmm (123)

Cell and atoms, written as extended XYZ:
```
16
Lattice="4.524 0.000 0.000 0.000 4.524 0.000 0.000 0.000 19.230" Properties=species:S:1:pos:R:3 pbc="T T T"
Hg 0.000 2.262 2.453
Hg 0.000 2.262 16.778
Hg 2.262 0.000 12.004
Hg 2.262 0.000 2.453
Hg 2.262 2.262 0.000
Hg 2.262 0.000 7.226
Hg 2.262 2.262 14.393
Hg 2.262 2.262 4.837
Hg 2.262 2.262 9.615
Hg 2.262 0.000 16.778
Hg 0.000 2.262 7.226
Hg 0.000 2.262 12.004
Ho 0.000 0.000 4.844
Ho 0.000 0.000 9.615
Ho 0.000 0.000 14.387
Sm 0.000 0.000 0.000
```